No. 1
Density functional theory data (GGA-PBE) for an optimized crystal structure of SmHoIn.

a b c (Å): 5.2562 5.2562 3.6728
angles (deg): 90.00 90.00 120.00
Space group P3m1 (No. 156)
Symmetry-distinct sites (fractional):
Sm: 0.0000 0.0000 0.0000
Ho: 0.6667 0.3333 0.4450
In: 0.3333 0.6667 0.6557

Summary:
Formation energy from the elements, meV/atom: -234
E above lowest polymorph, eV per atom: 0.0689
Size of the total moment, μB/cell: 0.0
Volume, Å³ per atom: 29.29

---

No. 2
Density functional theory data (GGA-PBE) for an optimized crystal structure of Sm3Ho8In.

a b c (Å): 8.627 8.627 11.228
angles (deg): 90.00 90.00 90.00
Space group I-42m (No. 121)
Symmetry-distinct sites (fractional):
Sm: 0.000 0.000 0.000
Sm: 0.000 0.500 0.250
Ho: 0.126 0.126 0.753
Ho: 0.249 0.249 0.013
In: 0.000 0.000 0.500

Summary:
Formation energy from the elements, meV/atom: 512
Size of the total moment, μB/cell: 0.0
Volume, Å³ per atom: 34.82

---

No. 3
Density functional theory data (GGA-PBE) for an optimized crystal structure of Sm8Ho3In2.

a b c (Å): 14.256 9.326 6.575
angles (deg): 90.00 99.23 90.00
Space group C2/m (No. 12)
Symmetry-distinct sites (fractional):
Sm: 0.085 0.000 0.379
Sm: 0.123 0.181 0.944
Sm: 0.204 0.500 0.343
Ho: 0.000 0.333 0.500
Ho: 0.000 0.500 0.000
In: 0.193 0.500 0.816

Summary:
Formation energy from the elements, meV/atom: 43
Size of the total moment, μB/cell: 0.0
Volume, Å³ per atom: 33.18

---

No. 4
Density functional theory data (GGA-PBE) for an optimized crystal structure of Sm3Ho2In.

a b c (Å): 5.777 6.463 10.207
angles (deg): 90.00 90.00 90.00
Space group Immm (No. 71)
Symmetry-distinct sites (fractional):
Sm: 0.000 0.000 0.000
Sm: 0.000 0.000 0.346
Ho: 0.000 0.500 0.314
In: 0.000 0.500 0.000

Summary:
Formation energy from the elements, meV/atom: 170
E above lowest polymorph, eV per atom: 0.3268
Size of the total moment, μB/cell: 0.0
Volume, Å³ per atom: 31.76

---

No. 5
Density functional theory data (GGA-PBE) for an optimized crystal structure of Sm6HoIn.

a b c (Å): 6.695 11.555 6.612
angles (deg): 90.00 90.13 90.00
Space group C2/m (No. 12)
Symmetry-distinct sites (fractional):
Sm: 0.071 0.000 0.246
Sm: 0.218 0.285 0.246
Ho: 0.000 0.500 0.500
In: 0.000 0.500 0.000

Summary:
Formation energy from the elements, meV/atom: 14
E above lowest polymorph, eV per atom: 0.1335
Size of the total moment, μB/cell: 0.0
Volume, Å³ per atom: 31.97

---

No. 6
Density functional theory data (GGA-PBE) for an optimized crystal structure of Sm3Ho4In.

a b c (Å): 11.242 7.067 6.195
angles (deg): 90.00 90.00 90.00
Space group Pmn2_1 (No. 31)
Symmetry-distinct sites (fractional):
Sm: 0.000 0.128 0.000
Sm: 0.239 0.116 0.344
Ho: 0.000 0.377 0.538
Ho: 0.000 0.629 0.016
Ho: 0.239 0.624 0.361
In: 0.000 0.865 0.523

Summary:
Formation energy from the elements, meV/atom: -112
E above lowest polymorph, eV per atom: 0.0000
Size of the total moment, μB/cell: 0.0
Volume, Å³ per atom: 30.76

---

No. 7
Density functional theory data (GGA-PBE) for an optimized crystal structure of SmHo7In2.

a b c (Å): 9.092 15.225 5.487
angles (deg): 90.00 90.00 90.00
Space group Cmmm (No. 65)
Symmetry-distinct sites (fractional):
Sm: 0.000 0.000 0.000
Ho: 0.000 0.232 0.000
Ho: 0.000 0.500 0.500
Ho: 0.181 0.122 0.500
In: 0.000 0.303 0.500

Summary:
Formation energy from the elements, meV/atom: 351
Size of the total moment, μB/cell: 4.0
Volume, Å³ per atom: 37.98

---

No. 8
Density functional theory data (GGA-PBE) for an optimized crystal structure of Sm2Ho3In.

a b c (Å): 4.866 15.148 4.901
angles (deg): 90.00 90.00 90.00
Space group Cmmm (No. 65)
Symmetry-distinct sites (fractional):
Sm: 0.000 0.162 0.000
Ho: 0.000 0.000 0.500
Ho: 0.000 0.335 0.500
In: 0.000 0.500 0.000

Summary:
Formation energy from the elements, meV/atom: -152
E above lowest polymorph, eV per atom: 0.0000
Size of the total moment, μB/cell: 0.0
Volume, Å³ per atom: 30.11

---

No. 9
Density functional theory data (GGA-PBE) for an optimized crystal structure of Sm8Ho2In.

a b c (Å): 18.192 5.014 8.019
angles (deg): 90.00 105.63 90.00
Space group C2/m (No. 12)
Symmetry-distinct sites (fractional):
Sm: 0.045 0.000 0.226
Sm: 0.090 0.500 0.943
Sm: 0.136 0.000 0.679
Sm: 0.180 0.500 0.409
Ho: 0.224 0.000 0.134
In: 0.000 0.500 0.500

Summary:
Formation energy from the elements, meV/atom: -66
E above lowest polymorph, eV per atom: 0.0000
Size of the total moment, μB/cell: 0.0
Volume, Å³ per atom: 32.02

---

No. 10
Density functional theory data (GGA-PBE) for an optimized crystal structure of Sm2Ho4In5.

a b c (Å): 6.349 10.534 20.651
angles (deg): 90.00 90.00 90.00
Space group Fmmm (No. 69)
Symmetry-distinct sites (fractional):
Sm: 0.000 0.000 0.109
Ho: 0.000 0.169 0.373
In: 0.000 0.000 0.500
In: 0.250 0.250 0.000
In: 0.250 0.250 0.250

Summary:
Formation energy from the elements, meV/atom: -129
Size of the total moment, μB/cell: 0.0
Volume, Å³ per atom: 31.39

---

No. 11
Density functional theory data (GGA-PBE) for an optimized crystal structure of SmHo5In2.

a b c (Å): 3.573 10.475 12.699
angles (deg): 90.00 90.00 90.00
Space group Immm (No. 71)
Symmetry-distinct sites (fractional):
Sm: 0.000 0.000 0.000
Ho: 0.000 0.227 0.366
Ho: 0.000 0.500 0.000
In: 0.000 0.500 0.259

Summary:
Formation energy from the elements, meV/atom: -176
Size of the total moment, μB/cell: 0.0
Volume, Å³ per atom: 29.70

---

Question: Which of these has the highest size of the total moment?
Answer: SmHo7In2

---

Question: Which of these has the lowest formation energy from the elements?
Answer: SmHoIn